Here is a geometry-optimized PuAl2In structure from Alexandria via LeMat-Bulk. Energies are from PBE. Values from VASP.

```
&SYSTEM
  ibrav = 0, nat = 4, ntyp = 3
/
ATOMIC_SPECIES
In 114.82 In.upf
Al 26.98 Al.upf
Pu 244.00 Pu.upf
CELL_PARAMETERS angstrom
-2.6208 2.0284 -2.7408
0.0749 -3.5477 -2.6972
-3.5331 -1.6914 2.1267
ATOMIC_POSITIONS angstrom
In -1.3104 1.0142 -1.3704
Al -1.7666 -0.8457 1.0633
Al 0.0375 -1.7739 -1.3486
Pu -3.0395 -1.6054 -1.6556
```

Calculated values
total energy = -25.34 eV/f.u.
ΔE_f = -0.20 eV/atom
space group = P4/mmm (123)

=====

Here is a geometry-optimized Mn6ZnC3 structure from Alexandria via LeMat-Bulk. Energies are from PBE. Values from VASP.

```
&SYSTEM
  ibrav = 0, nat = 10, ntyp = 3
/
ATOMIC_SPECIES
Zn 65.41 Zn.upf
Mn 54.94 Mn.upf
C 12.01 C.upf
CELL_PARAMETERS angstrom
0.8081 -0.5091 -5.0484
2.8437 -2.6756 3.3396
-4.5372 -2.1898 2.1091
ATOMIC_POSITIONS angstrom
Zn 0.0071 -4.3736 0.4422
Mn 1.1911 -2.5510 2.1564
Mn -0.1745 -1.1021 -3.3661
Mn -0.4508 -4.1664 3.1120
Mn -1.7631 -2.9175 1.2282
Mn -1.5496 -3.0014 -1.3110
Mn 0.5531 -1.8668 -0.5968
C -2.3715 -4.1427 2.6527
C -1.2998 -1.4577 -0.0611
C 1.4313 -1.2934 -2.2550
```

Calculated values
total energy = -83.12 eV/f.u.
ΔE_f = 0.08 eV/atom
space group = R3 (146)

=====

Here is a geometry-optimized PaTl2Ag2Te4 structure from Alexandria via LeMat-Bulk. Energies are from PBE. Values from VASP.

```
&SYSTEM
  ibrav = 0, nat = 9, ntyp = 4
/
ATOMIC_SPECIES
Pa 231.04 Pa.upf
Te 127.60 Te.upf
Tl 204.38 Tl.upf
Ag 107.87 Ag.upf
CELL_PARAMETERS angstrom
4.4457 0.0000 0.0000
0.0000 8.5465 0.3464
-2.2229 -3.0926 7.4181
ATOMIC_POSITIONS angstrom
Pa 0.0000 0.0000 0.0000
Te 2.2229 6.3772 0.4178
Te 0.0000 -0.9234 7.3467
Te 2.2229 4.8860 4.7210
Te 0.0000 0.5679 3.0435
Tl 0.0000 4.1457 2.1874
Tl 2.2229 1.3081 5.5771
Ag 2.2229 7.3301 3.0643
Ag 0.0000 -1.8762 4.7002
```

Calculated values
total energy = -36.61 eV/f.u.
space group = C2/m (12)
energy relative to the elements, uncorrected = -4.11 eV/f.u.

=====

Here is a geometry-optimized NaInGa2Co structure from Alexandria via LeMat-Bulk. Energies are from PBE. Values from VASP.

```
&SYSTEM
  ibrav = 0, nat = 5, ntyp = 4
/
ATOMIC_SPECIES
Co 58.93 Co.upf
Na 22.99 Na.upf
Ga 69.72 Ga.upf
In 114.82 In.upf
CELL_PARAMETERS angstrom
-0.9888 -2.1145 -3.9954
0.9867 -4.0922 1.9215
-4.7049 -0.4707 1.4135
ATOMIC_POSITIONS angstrom
Co 0.0000 0.0000 0.0000
Na -2.3535 -3.3387 -0.3302
Ga -0.4944 -1.0572 -1.9977
Ga 0.4933 -2.0461 0.9608
In -2.3525 -0.2354 0.7067
```

Calculated values
total energy = -17.83 eV/f.u.
ΔE_f = -0.12 eV/atom
space group = P4/mmm (123)

=====

Here is a geometry-optimized KMgAu2F8 structure from Alexandria via LeMat-Bulk. Energies are from PBE. Values from VASP.

```
&SYSTEM
  ibrav = 0, nat = 12, ntyp = 4
/
ATOMIC_SPECIES
Au 196.97 Au.upf
F 19.00 F.upf
Mg 24.30 Mg.upf
K 39.10 K.upf
CELL_PARAMETERS angstrom
5.5594 0.0000 0.0000
-2.7797 4.8146 0.0000
0.0000 0.0000 7.0608
ATOMIC_POSITIONS angstrom
Au 2.7797 1.6049 2.5777
Au 0.0000 3.2097 4.4832
F 1.1463 4.4616 2.4480
F 2.2687 3.2235 4.6129
F -1.6573 3.5765 2.4480
F 4.4370 1.2381 4.6129
F 2.7797 1.6049 0.6016
F 0.0000 3.2097 6.4593
F 0.5110 1.5911 2.4480
F 1.6334 0.3530 4.6129
Mg 0.0000 0.0000 3.5304
K 0.0000 0.0000 0.0000
```

Calculated values
total energy = -44.22 eV/f.u.
space group = P-3 (147)
energy relative to the elements, uncorrected = -20.00 eV/f.u.

=====

Here is a geometry-optimized BeAl2Mo structure from Alexandria via LeMat-Bulk. Energies are from PBE. Values from VASP.

```
&SYSTEM
  ibrav = 0, nat = 4, ntyp = 3
/
ATOMIC_SPECIES
Al 26.98 Al.upf
Be 9.01 Be.upf
Mo 95.94 Mo.upf
CELL_PARAMETERS angstrom
2.6829 0.0157 0.0000
-0.0175 2.6829 0.0000
0.0000 0.0000 7.8120
ATOMIC_POSITIONS angstrom
Al 0.0000 0.0000 3.7293
Al 0.0000 0.0000 0.1767
Be 1.3327 1.3493 1.9530
Mo 1.3327 1.3493 5.8590
```

Calculated values
total energy = -21.65 eV/f.u.
ΔE_f = 0.10 eV/atom
space group = P4/mmm (123)